First-principles (GGA-PBEsol) data for ZrTcTe2 after structural relaxation, as listed in Alexandria via LeMat-Bulk.

Results
As for the uncorrected formation energy: -84.3 meV/atom. Its relative energy among the computed polymorphs is 234 meV per atom. The value obtained for the total energy is -6.9364 eV per atom. The size of the total moment comes out at 0.0 μB per formula unit.

The structure in CIF format:
```
data_ZrTcTe2
_chemical_formula_sum 'Zr2 Tc2 Te4'
_cell_length_a 8.120
_cell_length_b 3.404
_cell_length_c 6.149
_cell_angle_alpha 90.00
_cell_angle_beta 102.54
_cell_angle_gamma 90.00
_symmetry_space_group_name_H-M 'C 1 2/m 1'
_symmetry_Int_Tables_number 12
loop_
_symmetry_equiv_pos_as_xyz
'x,y,z'
'-x,-y,-z'
'-x,y,-z'
'x,-y,z'
'x+1/2,y+1/2,z'
'-x+1/2,-y+1/2,-z'
'-x+1/2,y+1/2,-z'
'x+1/2,-y+1/2,z'
loop_
_atom_site_label
_atom_site_fract_x
_atom_site_fract_y
_atom_site_fract_z
Zr1 0.000 0.000 0.000
Tc1 0.000 0.500 0.500
Te1 0.245 0.000 0.723
```